[1]
## Sb2MoSe (PBE)

Data for a relaxed Sb2MoSe crystal.

Calculated density, g/cm3: 8.30
Uncorrected formation energy, eV per atom: 0.502
VASP energy, hartree per atom: -0.189

```
Sb2MoSe
1.0
-4.626 -0.840 1.408
0.787 -4.833 -0.338
2.942 2.770 2.785
Se Sb Mo
1 2 1
direct
0.500 0.500 0.000
0.000 0.000 0.000
0.250 0.750 0.500
0.750 0.250 0.500
```

=====

[2]
## Tl2AsW (PBE)

Data for a relaxed Tl2AsW crystal.

ΔH_f (0 K), meV/atom: 1083
ΔE to the lowest computed polymorph, meV per atom: 746
Calculated density, g/cm3: 12.45
VASP energy, hartree per atom: -0.165

```
Tl2AsW
1.0
5.013 0.000 0.000
2.506 4.341 0.000
2.506 1.447 4.093
W As Tl
1 1 2
direct
0.750 0.750 0.750
0.500 0.500 0.500
0.250 0.250 0.250
0.000 0.000 0.000
```

=====

[3]
## Pm2BiTe (PBE)

Data for a relaxed Pm2BiTe crystal.

ΔE to the lowest computed polymorph, meV per atom: 224
Calculated density, g/cm3: 8.66
Uncorrected formation energy, eV per atom: -0.977
VASP energy, hartree per atom: -0.188

```
Pm2BiTe
1.0
-3.464 -4.163 -1.162
0.685 -2.962 -4.630
1.769 -5.240 0.302
Te Bi Pm
1 1 2
direct
0.000 0.000 0.000
0.500 0.500 0.500
0.250 0.250 0.250
0.750 0.750 0.750
```

=====

[4]
## Pm4Nd2SmDy (PBE)

Data for a relaxed Pm4Nd2SmDy crystal.

ΔH_f (0 K), meV/atom: 383
Calculated density, g/cm3: 7.06
VASP energy, hartree per atom: -0.160

```
Pm4Nd2SmDy
1.0
9.462 0.000 -1.702
-0.006 9.462 -1.702
-6.047 -6.051 8.380
Sm Dy Pm Nd
2 2 8 4
direct
0.000 0.500 0.500
0.000 0.500 0.000
0.000 0.000 0.000
0.500 0.500 0.500
0.794 0.793 0.547
0.246 0.754 0.998
0.293 0.294 0.047
0.707 0.706 0.953
0.746 0.254 0.502
0.754 0.246 0.002
0.206 0.207 0.453
0.254 0.746 0.498
0.500 0.000 0.000
0.500 0.500 0.000
0.500 0.000 0.500
0.000 0.000 0.500
```

=====

[5]
## Ce4TcGe2 (PBE)

Data for a relaxed Ce4TcGe2 crystal.

ΔH_f (0 K), meV/atom: -118
ΔE to the lowest computed polymorph, meV per atom: 315
Calculated density, g/cm3: 6.67
VASP energy, hartree per atom: -0.232

```
Ce4TcGe2
1.0
-3.043 0.688 -2.522
-5.067 -4.008 5.021
0.397 6.504 1.294
Tc Ce Ge
1 4 2
direct
0.000 0.071 0.071
0.000 0.435 0.338
0.500 0.108 0.811
0.500 0.035 0.332
0.000 0.708 0.805
0.500 0.409 0.669
0.500 0.733 0.474
```

=====

[6]
## CaVCl2 (PBE)

Data for a relaxed CaVCl2 crystal.

ΔE to the lowest computed polymorph, meV per atom: 255
Calculated density, g/cm3: 3.17
Uncorrected formation energy, eV per atom: -0.559
VASP energy, hartree per atom: -0.157

```
CaVCl2
1.0
0.000 3.486 3.486
3.486 0.000 3.486
3.486 3.486 0.000
Cl Ca V
2 1 1
direct
0.250 0.250 0.250
0.750 0.750 0.750
0.000 0.000 0.000
0.500 0.500 0.500
```